VASP calculation (PBE) on a geometry-optimized Tb2TcGe2 structure. Values from VASP.

Results
ΔE_f, eV per atom: -0.68
Density of states at the Fermi level, states/eV/cell: 5.801
Relative energy among the computed polymorphs, meV per atom: 0.0
Calculated density, g/cm3: 8.739
Space-group type: C2/m, No. 12

Quantum ESPRESSO input file:
```
&SYSTEM
  ibrav = 0, nat = 10, ntyp = 3
/
ATOMIC_SPECIES
Tb 158.93 Tb.upf
Tc 98.00 Tc.upf
Ge 72.64 Ge.upf
CELL_PARAMETERS angstrom
5.5276 -2.1228 0.0000
5.5276 2.1228 0.0000
-4.9007 0.0000 9.0864
ATOMIC_POSITIONS angstrom
Tb -0.8279 0.0000 1.5917
Tb -0.9464 0.0000 5.5579
Tb 7.1008 0.0000 3.5286
Tb 6.9824 0.0000 7.4947
Tc 2.4020 0.0000 1.1904
Tc 3.7525 0.0000 7.8960
Ge -0.6426 0.0000 8.5099
Ge 2.3860 0.0000 5.6645
Ge 3.7685 0.0000 3.4219
Ge 6.7970 0.0000 0.5765
```


VASP calculation (PBE) on a geometry-optimized TbTcGe3 structure. Values from VASP.

Results
ΔE_f, eV per atom: -0.40
Density of states at the Fermi level, states/eV/cell: 4.090
Calculated density, g/cm3: 8.288
Space-group type: Cmcm, No. 63

Quantum ESPRESSO input file:
```
&SYSTEM
  ibrav = 0, nat = 10, ntyp = 3
/
ATOMIC_SPECIES
Tb 158.93 Tb.upf
Tc 98.00 Tc.upf
Ge 72.64 Ge.upf
CELL_PARAMETERS angstrom
2.8429 -5.6311 0.0000
2.8429 5.6311 0.0000
0.0000 0.0000 5.9432
ATOMIC_POSITIONS angstrom
Tb 2.8429 4.4207 4.4574
Tb 2.8429 -4.4207 1.4858
Tc 2.8429 0.0000 0.0000
Tc 2.8429 0.0000 2.9716
Ge 1.3327 1.4283 4.4574
Ge 2.8429 2.0514 1.4858
Ge 1.3327 -1.4283 1.4858
Ge 4.3530 1.4283 4.4574
Ge 2.8429 -2.0514 4.4574
Ge 4.3530 -1.4283 1.4858
```


Question: Which value of ΔE_f does entry 1 give?
Answer: -0.68 eV per atom


Question: Number 1 is which compound?
Answer: Tb2TcGe2